The following is a PBE calculation of an optimized crystal structure of CaSNO2, from Alexandria via LeMat-Bulk.

Cell and atoms, written as POSCAR:
```
CaSNO2
1.0
3.918 0.000 0.000
0.000 3.918 0.000
0.000 0.000 3.467
S N O Ca
1 1 2 1
Cartesian
0.000 0.000 0.000
0.000 0.000 1.734
0.000 1.959 0.000
1.959 0.000 0.000
1.959 1.959 1.734
```

The calculation puts the calculated total energy at -5.451 eV/atom. The space group is P4/mmm (123). The calculation puts the formation energy (no corrections) at -0.58 eV per atom. The calculation puts the density of states at the Fermi level at 1.77 states/eV/cell.

***

The following is a PBE calculation of an optimized crystal structure of Ca6Sb2NO, from Alexandria via LeMat-Bulk.

Cell and atoms, written as POSCAR:
```
Ca6Sb2NO
1.0
-6.163 0.383 -2.972
-5.650 -1.322 3.645
-4.286 5.088 1.643
O N Ca Sb
1 1 6 2
Cartesian
-8.049 2.075 1.158
0.000 0.000 0.000
-9.260 3.789 -0.097
-6.838 0.360 2.413
-6.150 3.596 1.403
-9.949 0.554 0.913
-7.097 1.221 -0.927
-9.002 2.928 3.243
-12.074 3.112 1.737
-4.025 1.037 0.579
```

The calculation puts the calculated total energy at -4.743 eV/atom. The space group is Fm-3m (225). The calculation puts the formation energy (no corrections) at -1.39 eV per atom. The calculation puts the density of states at the Fermi level at 2.07 states/eV/cell.

***

The following is a PBE calculation of an optimized crystal structure of CaSeN2O, from Alexandria via LeMat-Bulk.

Cell and atoms, written as POSCAR:
```
CaSeN2O
1.0
-3.576 0.635 -3.082
-2.813 -2.735 2.700
-1.764 4.815 3.039
N O Ca Se
2 1 1 1
Cartesian
-1.406 -1.368 1.350
-1.788 0.317 -1.541
-4.076 1.357 1.329
0.000 0.000 0.000
-0.882 2.407 1.520
```

The calculation puts the calculated total energy at -3.565 eV/atom. The space group is P4/mmm (123). The calculation puts the formation energy (no corrections) at 1.85 eV per atom. The calculation puts the density of states at the Fermi level at 3.30 states/eV/cell.

***

The following is a PBE calculation of an optimized crystal structure of CaSe2NO, from Alexandria via LeMat-Bulk.

Cell and atoms, written as POSCAR:
```
CaSe2NO
1.0
4.401 0.000 0.000
0.000 4.401 0.000
0.000 0.000 4.445
N Ca Se O
1 1 2 1
Cartesian
0.000 0.000 2.222
2.200 2.200 2.222
0.000 2.200 0.000
2.200 0.000 0.000
0.000 0.000 0.000
```

The calculation puts the calculated total energy at -4.075 eV/atom. The space group is P4/mmm (123). The calculation puts the formation energy (no corrections) at 0.38 eV per atom. The calculation puts the density of states at the Fermi level at 2.11 states/eV/cell. The relative energy among the computed polymorphs comes out at 0 meV per atom.

***

The following is a PBE calculation of an optimized crystal structure of CaSeN2O, from Alexandria via LeMat-Bulk.

Cell and atoms, written as POSCAR:
```
CaSeN2O
1.0
-1.964 -2.477 2.090
-0.446 -2.214 -3.043
3.478 -1.976 0.928
N O Ca Se
2 1 1 1
Cartesian
-0.982 -1.238 1.045
-0.223 -1.107 -1.522
1.739 -0.988 0.464
0.534 -3.334 -0.013
0.000 0.000 0.000
```

The calculation puts the calculated total energy at -5.296 eV/atom. The space group is P4/mmm (123). The calculation puts the formation energy (no corrections) at 0.12 eV per atom. The calculation puts the density of states at the Fermi level at 1.95 states/eV/cell.

***

The following is a PBE calculation of an optimized crystal structure of CaSe2NO, from Alexandria via LeMat-Bulk.

Cell and atoms, written as POSCAR:
```
CaSe2NO
1.0
5.779 0.000 0.000
0.000 5.779 0.000
0.000 0.000 4.677
Se N O Ca
2 1 1 1
Cartesian
2.889 0.000 0.000
0.000 2.889 0.000
0.000 0.000 2.338
2.889 2.889 2.338
0.000 0.000 0.000
```

The calculation puts the calculated total energy at -3.203 eV/atom. The space group is P4/mmm (123). The calculation puts the formation energy (no corrections) at 1.25 eV per atom. The calculation puts the density of states at the Fermi level at 4.52 states/eV/cell. The relative energy among the computed polymorphs comes out at 871 meV per atom.

***

The following is a PBE calculation of an optimized crystal structure of CaSeN2O, from Alexandria via LeMat-Bulk.

Cell and atoms, written as POSCAR:
```
CaSeN2O
1.0
4.121 0.000 0.000
0.000 4.121 0.000
0.000 0.000 4.014
Se Ca N O
1 1 2 1
Cartesian
0.000 0.000 2.007
2.060 2.060 2.007
2.060 0.000 0.000
0.000 2.060 0.000
0.000 0.000 0.000
```

The calculation puts the calculated total energy at -4.291 eV/atom. The space group is P4/mmm (123). The calculation puts the formation energy (no corrections) at 1.13 eV per atom. The calculation puts the density of states at the Fermi level at 2.88 states/eV/cell.

***

The following is a PBE calculation of an optimized crystal structure of CaSeN2O, from Alexandria via LeMat-Bulk.

Cell and atoms, written as POSCAR:
```
CaSeN2O
1.0
4.718 0.000 0.000
0.000 4.718 0.000
0.000 0.000 4.316
Ca O N Se
1 1 2 1
Cartesian
0.000 0.000 0.000
0.000 0.000 2.158
2.359 0.000 0.000
0.000 2.359 0.000
2.359 2.359 2.158
```

The calculation puts the calculated total energy at -3.949 eV/atom. The space group is P4/mmm (123). The calculation puts the formation energy (no corrections) at 1.47 eV per atom. The calculation puts the density of states at the Fermi level at 3.98 states/eV/cell.